Below is a geometry-optimized Ce2ThS6 structure, with properties calculated at the PBE level.

As for the total DFT energy (no corrections): -60.403 eV/cell. The space group is P-62m (189).

a = 4.1913 Å, b = 7.3305 Å, c = 7.3318 Å
α = 119.99°, β = 90.00°, γ = 90.00°
Last column: nearest neighbours and their distance in Å.
Fractional coordinates of all 9 atoms:
S (0.0000, 0.7385, 0.7385)  2 Ce 2.75, 2 Th 2.84
S (0.5000, 0.5942, 0.0000)  1 Th 2.97, 4 Ce 3.06, 2 S 3.22
S (0.5000, 0.0003, 0.5944)  1 Th 2.97, 4 Ce 3.06, 2 S 3.22
S (0.5000, 0.4059, 0.4056)  1 Th 2.97, 4 Ce 3.06, 2 S 3.22
S (0.0000, 0.0000, 0.2615)  2 Ce 2.75, 2 Th 2.84
Th (0.5000, 0.0000, 0.0000)  9 S 2.84-2.97
S (0.0000, 0.2614, 0.0000)  2 Ce 2.75, 2 Th 2.84
Ce (0.0000, 0.6665, 0.3333)  9 S 2.75-3.06
Ce (0.0000, 0.3333, 0.6667)  9 S 2.75-3.06



Below is a geometry-optimized Ce3AsO3 structure, with properties calculated at the PBE level.

As for the total DFT energy (no corrections): -53.470 eV/cell. The calculation puts the energy relative to the lowest polymorph listed for this composition at 3.023 eV per formula unit. The space group is R3m (160).

a = 5.6927 Å, b = 5.6927 Å, c = 5.6927 Å
α = 100.71°, β = 100.71°, γ = 100.71°
Last column: nearest neighbours and their distance in Å.
Fractional coordinates of all 7 atoms:
Ce (0.8974, 0.8974, 0.4824)  3 O 2.29
As (0.0934, 0.0934, 0.0934)  3 Ce 2.96, 3 O 3.25
Ce (0.4824, 0.8974, 0.8974)  3 O 2.29
O (0.6530, 0.1228, 0.6530)  3 Ce 2.29
O (0.6530, 0.6530, 0.1228)  3 Ce 2.29
O (0.1228, 0.6530, 0.6530)  3 Ce 2.29
Ce (0.8974, 0.4824, 0.8974)  3 O 2.29



Below is a geometry-optimized Pm3Nd2DySe6 structure, with properties calculated at the PBE level.

As for the total DFT energy (no corrections): -71.146 eV/cell. The space group is C2/m (12).

a = 4.1711 Å, b = 8.4221 Å, c = 9.3508 Å
α = 102.83°, β = 102.89°, γ = 90.00°
Last column: nearest neighbours and their distance in Å.
Fractional coordinates of all 12 atoms:
Nd (0.8319, 0.6644, 0.6638)  6 Se 2.96-3.01
Se (0.3348, 0.4152, 0.6696)  3 Pm 2.93-2.94, 3 Nd 2.96-2.97
Dy (0.5000, 0.0000, 0.0000)  6 Se 2.88-2.92
Pm (0.8299, 0.1666, 0.6599)  6 Se 2.94-2.99
Pm (0.5000, 0.5000, 0.0000)  6 Se 2.93-3.01
Pm (0.1701, 0.8334, 0.3402)  6 Se 2.94-2.99
Se (0.3378, 0.9210, 0.6755)  1 Dy 2.88, 3 Pm 2.96-2.98, 2 Nd 2.99
Se (0.9984, 0.2411, 0.9967)  2 Dy 2.92, 3 Pm 2.99-3.01, 1 Nd 3.01
Se (0.6652, 0.5848, 0.3304)  3 Pm 2.93-2.94, 3 Nd 2.96-2.97
Se (0.0016, 0.7589, 0.0033)  2 Dy 2.92, 3 Pm 2.99-3.01, 1 Nd 3.01
Nd (0.1681, 0.3356, 0.3362)  6 Se 2.96-3.01
Se (0.6622, 0.0790, 0.3245)  1 Dy 2.88, 3 Pm 2.96-2.98, 2 Nd 2.99



no.,ΔE_f (raw) (meV/atom)
1,-1816.8
2,-2306.3
3,-1820.8